A plane-wave DFT calculation with PBE was carried out for a relaxed structure of Ce3Mg7In4. Values from VASP.

Structure (Quantum ESPRESSO input):
```
&SYSTEM
  ibrav = 0, nat = 14, ntyp = 3
/
ATOMIC_SPECIES
Ce 140.12 Ce.upf
Mg 24.30 Mg.upf
In 114.82 In.upf
ATOMIC_POSITIONS crystal
Ce 0.0000 0.0000 0.0000
Ce 0.2928 0.2928 0.2825
Ce 0.7072 0.7072 0.7175
Mg 0.0000 0.0000 0.5000
Mg 0.1548 0.1548 0.4324
Mg 0.3392 0.3392 0.9876
Mg 0.4943 0.4943 0.6743
Mg 0.5057 0.5057 0.3257
Mg 0.6608 0.6608 0.0124
Mg 0.8452 0.8452 0.5676
In 0.1316 0.1316 0.8459
In 0.3522 0.3522 0.7341
In 0.6478 0.6478 0.2659
In 0.8684 0.8684 0.1541
CELL_PARAMETERS angstrom
8.7246 -2.4130 0.0000
8.7246 2.4130 0.0000
-6.2333 0.0000 8.5271
```

Computed properties:
E_form (eV/atom): -0.202

***

A plane-wave DFT calculation with PBE was carried out for a relaxed structure of BaLiHgPb2. Values from VASP.

Structure (Quantum ESPRESSO input):
```
&SYSTEM
  ibrav = 0, nat = 5, ntyp = 4
/
ATOMIC_SPECIES
Ba 137.33 Ba.upf
Li 6.94 Li.upf
Hg 200.59 Hg.upf
Pb 207.20 Pb.upf
ATOMIC_POSITIONS crystal
Ba 0.0000 0.0000 0.0000
Li 0.5000 0.5000 0.5000
Hg 0.5000 0.5000 0.0000
Pb 0.0000 0.5000 0.5000
Pb 0.5000 0.0000 0.5000
CELL_PARAMETERS angstrom
5.3042 0.0000 0.0000
0.0000 5.3042 0.0000
0.0000 0.0000 5.3988
```

Computed properties:
E_form (eV/atom): -0.287
Polymorph energy (0 for the lowest one) (eV/atom): 0.0910

***

A plane-wave DFT calculation with PBE was carried out for a relaxed structure of FeCo2AgN. Values from VASP.

Structure (Quantum ESPRESSO input):
```
&SYSTEM
  ibrav = 0, nat = 5, ntyp = 4
/
ATOMIC_SPECIES
Fe 55.84 Fe.upf
Co 58.93 Co.upf
Ag 107.87 Ag.upf
N 14.01 N.upf
ATOMIC_POSITIONS crystal
Fe 0.0000 0.0000 0.0000
Co 0.0000 0.5000 0.5000
Co 0.5000 0.0000 0.5000
Ag 0.5000 0.5000 0.0000
N 0.0000 0.0000 0.5000
CELL_PARAMETERS angstrom
3.8383 0.0000 0.0000
0.0000 3.8383 0.0000
0.0000 0.0000 3.8747
```

Computed properties:
Formation energy (no corrections) (eV per atom): 0.0765

***

A plane-wave DFT calculation with PBE was carried out for a relaxed structure of TbNdSe3. Values from VASP.

Structure (Quantum ESPRESSO input):
```
&SYSTEM
  ibrav = 0, nat = 20, ntyp = 3
/
ATOMIC_SPECIES
Tb 158.93 Tb.upf
Nd 144.24 Nd.upf
Se 78.96 Se.upf
ATOMIC_POSITIONS crystal
Tb 0.2300 0.2500 0.0426
Tb 0.2700 0.7500 0.5426
Tb 0.7300 0.2500 0.4574
Tb 0.7700 0.7500 0.9574
Nd 0.1397 0.7500 0.2984
Nd 0.3603 0.2500 0.7984
Nd 0.6397 0.7500 0.2016
Nd 0.8603 0.2500 0.7016
Se 0.0084 0.7500 0.1062
Se 0.1218 0.2500 0.4365
Se 0.1515 0.7500 0.7159
Se 0.3485 0.2500 0.2159
Se 0.3782 0.7500 0.9365
Se 0.4916 0.2500 0.6062
Se 0.5084 0.7500 0.3938
Se 0.6218 0.2500 0.0635
Se 0.6515 0.7500 0.7841
Se 0.8485 0.2500 0.2841
Se 0.8782 0.7500 0.5635
Se 0.9916 0.2500 0.8938
CELL_PARAMETERS angstrom
7.7638 0.0000 0.0000
0.0000 4.1577 0.0000
0.0000 0.0000 16.1638
```

Computed properties:
Polymorph energy (0 for the lowest one) (eV/atom): 0.0000
Formation energy (no corrections) (eV per atom): -1.8960

***

A plane-wave DFT calculation with PBE was carried out for a relaxed structure of TaAl3Cr. Values from VASP.

Structure (Quantum ESPRESSO input):
```
&SYSTEM
  ibrav = 0, nat = 5, ntyp = 3
/
ATOMIC_SPECIES
Ta 180.95 Ta.upf
Al 26.98 Al.upf
Cr 52.00 Cr.upf
ATOMIC_POSITIONS crystal
Ta 0.0000 0.0000 0.0000
Al 0.0000 0.0000 0.5000
Al 0.0000 0.5000 0.0000
Al 0.5000 0.0000 0.0000
Cr 0.5000 0.5000 0.5000
CELL_PARAMETERS angstrom
4.9840 0.0000 0.0000
0.0000 4.9840 0.0000
0.0000 0.0000 4.9840
```

Computed properties:
E_form (eV/atom): 1.106
Polymorph energy (0 for the lowest one) (eV/atom): 0.2892

***

A plane-wave DFT calculation with PBE was carried out for a relaxed structure of Cd5Hg4. Values from VASP.

Structure (Quantum ESPRESSO input):
```
&SYSTEM
  ibrav = 0, nat = 18, ntyp = 2
/
ATOMIC_SPECIES
Cd 112.41 Cd.upf
Hg 200.59 Hg.upf
ATOMIC_POSITIONS crystal
Cd 0.0000 0.3056 0.2500
Cd 0.0000 0.6944 0.7500
Cd 0.3056 0.0000 0.2500
Cd 0.3056 0.3056 0.7500
Cd 0.3333 0.6667 0.0000
Cd 0.3333 0.6667 0.5000
Cd 0.6667 0.3333 0.0000
Cd 0.6667 0.3333 0.5000
Cd 0.6944 0.0000 0.7500
Cd 0.6944 0.6944 0.2500
Hg 0.0000 0.0000 0.0000
Hg 0.0000 0.0000 0.5000
Hg 0.0000 0.3621 0.7500
Hg 0.0000 0.6379 0.2500
Hg 0.3621 0.0000 0.7500
Hg 0.3621 0.3621 0.2500
Hg 0.6379 0.0000 0.2500
Hg 0.6379 0.6379 0.7500
CELL_PARAMETERS angstrom
9.2438 0.0000 0.0000
-4.6219 8.0054 0.0000
0.0000 0.0000 5.9544
```

Computed properties:
E_form (eV/atom): 0.035
Polymorph energy (0 for the lowest one) (eV/atom): 0.0109